VASP calculation (SCAN) on SbOsAu2 at its PBEsol-relaxed geometry.

Structure (POSCAR):
```
SbOsAu2
1.0
1.426 -2.555 0.000
1.426 2.555 0.000
0.000 0.000 9.980
Sb Os Au
1 1 2
direct
0.000 0.000 0.000
0.000 0.000 0.500
0.500 0.500 0.267
0.500 0.500 0.733
```

## Properties
The calculation puts the density of states at the Fermi level at 2.40 states/eV/cell. The calculation puts the electronic total energy at -61.171 eV/atom. Its crystal system is orthorhombic.